(1)
! Zr2CuPPt | Alexandria via LeMat-Bulk | GGA-PBE | optimized geometry; values from VASP
! Space group   P4/mmm
! ΔH_f (0 K)   0.159 eV/atom
! Fermi-level density of states   5.597 states/eV/f.u.
! ΔE to the lowest computed polymorph   2.45 eV per formula unit
! Total DFT energy (no corrections)   -6.37 eV per atom
&SYSTEM
  ibrav = 0, nat = 5, ntyp = 4
/
ATOMIC_SPECIES
P 30.97 P.upf
Cu 63.55 Cu.upf
Zr 91.22 Zr.upf
Pt 195.08 Pt.upf
CELL_PARAMETERS angstrom
-2.533 -0.671 -4.217
1.688 -3.583 -0.444
-3.716 -2.068 2.562
ATOMIC_POSITIONS crystal
P 0.000 0.500 0.000
Cu 0.000 0.000 0.000
Zr 0.000 0.000 0.500
Zr 0.500 0.000 0.000
Pt 0.500 0.500 0.500

---

(2)
! MgMnAlPt | Alexandria via LeMat-Bulk | GGA-PBE | optimized geometry; values from VASP
! Space group   F-43m
! ΔH_f (0 K)   -0.475 eV/atom
! Fermi-level density of states   3.245 states/eV/f.u.
! Total DFT energy (no corrections)   -5.61 eV per atom
&SYSTEM
  ibrav = 0, nat = 4, ntyp = 4
/
ATOMIC_SPECIES
Mg 24.30 Mg.upf
Mn 54.94 Mn.upf
Al 26.98 Al.upf
Pt 195.08 Pt.upf
CELL_PARAMETERS angstrom
-3.227 1.872 2.355
-4.219 -0.817 -0.999
-2.470 -2.461 2.703
ATOMIC_POSITIONS crystal
Mg 0.500 0.500 0.500
Mn 0.250 0.250 0.250
Al 0.000 0.000 0.000
Pt 0.750 0.750 0.750

---

(3)
! Pr4CuIr | Alexandria via LeMat-Bulk | GGA-PBE | optimized geometry; values from VASP
! Space group   F-43m
! ΔH_f (0 K)   -0.275 eV/atom
! Fermi-level density of states   5.585 states/eV/f.u.
! ΔE to the lowest computed polymorph   0.00 eV per formula unit
! Total DFT energy (no corrections)   -5.62 eV per atom
&SYSTEM
  ibrav = 0, nat = 24, ntyp = 3
/
ATOMIC_SPECIES
Pr 140.91 Pr.upf
Cu 63.55 Cu.upf
Ir 192.22 Ir.upf
CELL_PARAMETERS angstrom
-2.004 -9.447 2.200
6.895 -5.649 4.319
-1.071 -2.765 9.451
ATOMIC_POSITIONS crystal
Pr 0.397 0.397 0.397
Pr 0.810 0.397 0.397
Pr 0.397 0.810 0.397
Pr 0.397 0.397 0.810
Pr 0.558 0.558 0.942
Pr 0.942 0.942 0.558
Pr 0.558 0.942 0.558
Pr 0.942 0.558 0.942
Pr 0.942 0.558 0.558
Pr 0.558 0.942 0.942
Pr 0.188 0.188 0.812
Pr 0.812 0.812 0.188
Pr 0.188 0.812 0.188
Pr 0.812 0.188 0.812
Pr 0.812 0.188 0.188
Pr 0.188 0.812 0.812
Cu 0.156 0.156 0.156
Cu 0.532 0.156 0.156
Cu 0.156 0.532 0.156
Cu 0.156 0.156 0.532
Ir 0.608 0.608 0.608
Ir 0.177 0.608 0.608
Ir 0.608 0.177 0.608
Ir 0.608 0.608 0.177

---

(4)
! Ba12Ir3Cl5 | Alexandria via LeMat-Bulk | GGA-PBE | optimized geometry; values from VASP
! Space group   Ia-3d
! Fermi-level density of states   17.120 states/eV/f.u.
! Total DFT energy (no corrections)   -3.73 eV per atom
&SYSTEM
  ibrav = 0, nat = 80, ntyp = 3
/
ATOMIC_SPECIES
Ir 192.22 Ir.upf
Cl 35.45 Cl.upf
Ba 137.33 Ba.upf
CELL_PARAMETERS angstrom
-11.579 8.917 -7.111
-6.446 -13.880 5.473
6.354 8.301 12.445
ATOMIC_POSITIONS crystal
Ir 0.750 0.375 0.125
Ir 0.875 0.750 0.125
Ir 0.375 0.750 0.625
Ir 0.250 0.125 0.375
Ir 0.875 0.125 0.250
Ir 0.375 0.625 0.250
Ir 0.625 0.375 0.750
Ir 0.125 0.875 0.750
Ir 0.750 0.875 0.625
Ir 0.625 0.250 0.375
Ir 0.125 0.250 0.875
Ir 0.250 0.625 0.875
Cl 0.125 0.375 0.250
Cl 0.000 0.500 0.000
Cl 0.000 0.000 0.000
Cl 0.375 0.250 0.125
Cl 0.500 0.000 0.500
Cl 0.500 0.500 0.000
Cl 0.125 0.750 0.375
Cl 0.750 0.125 0.875
Cl 0.750 0.625 0.375
Cl 0.375 0.125 0.750
Cl 0.625 0.875 0.250
Cl 0.500 0.500 0.500
Cl 0.500 0.000 0.000
Cl 0.000 0.000 0.500
Cl 0.250 0.375 0.625
Cl 0.250 0.875 0.125
Cl 0.000 0.500 0.500
Cl 0.875 0.250 0.625
Cl 0.625 0.750 0.875
Cl 0.875 0.625 0.750
Ba 0.729 0.132 0.055
Ba 0.326 0.555 0.423
Ba 0.945 0.368 0.271
Ba 0.555 0.229 0.132
Ba 0.598 0.729 0.674
Ba 0.945 0.577 0.174
Ba 0.326 0.771 0.402
Ba 0.077 0.902 0.132
Ba 0.577 0.945 0.674
Ba 0.729 0.598 0.174
Ba 0.771 0.445 0.368
Ba 0.826 0.923 0.055
Ba 0.132 0.729 0.555
Ba 0.368 0.423 0.098
Ba 0.098 0.923 0.368
Ba 0.402 0.132 0.577
Ba 0.098 0.174 0.229
Ba 0.445 0.674 0.077
Ba 0.826 0.902 0.271
Ba 0.132 0.402 0.077
Ba 0.368 0.945 0.771
Ba 0.577 0.632 0.402
Ba 0.923 0.826 0.555
Ba 0.771 0.326 0.902
Ba 0.423 0.368 0.598
Ba 0.077 0.174 0.445
Ba 0.229 0.674 0.098
Ba 0.174 0.098 0.729
Ba 0.632 0.055 0.229
Ba 0.868 0.598 0.923
Ba 0.555 0.326 0.923
Ba 0.598 0.868 0.423
Ba 0.902 0.826 0.771
Ba 0.902 0.077 0.632
Ba 0.868 0.271 0.445
Ba 0.174 0.077 0.945
Ba 0.632 0.577 0.902
Ba 0.423 0.055 0.326
Ba 0.271 0.402 0.826
Ba 0.229 0.555 0.632
Ba 0.923 0.098 0.868
Ba 0.674 0.229 0.598
Ba 0.445 0.771 0.868
Ba 0.055 0.423 0.826
Ba 0.402 0.271 0.326
Ba 0.055 0.632 0.729
Ba 0.674 0.445 0.577
Ba 0.271 0.868 0.945

---

(5)
! Ba2SiPb | Alexandria via LeMat-Bulk | GGA-PBE | optimized geometry; values from VASP
! Space group   Imm2
! Fermi-level density of states   1.626 states/eV/f.u.
! ΔE to the lowest computed polymorph   0.31 eV per formula unit
! Total DFT energy (no corrections)   -3.60 eV per atom
&SYSTEM
  ibrav = 0, nat = 4, ntyp = 3
/
ATOMIC_SPECIES
Ba 137.33 Ba.upf
Pb 207.20 Pb.upf
Si 28.09 Si.upf
CELL_PARAMETERS angstrom
-5.850 2.038 3.021
-5.904 -0.129 -3.554
5.323 -3.873 2.043
ATOMIC_POSITIONS crystal
Ba 0.020 0.020 0.000
Ba 0.738 0.238 0.500
Pb 0.448 0.448 0.000
Si 0.294 0.794 0.500

---

(6)
! Tb2AlCu2Rh5 | Alexandria via LeMat-Bulk | GGA-PBE | optimized geometry; values from VASP
! Space group   P4/mbm
! ΔH_f (0 K)   -0.543 eV/atom
! Fermi-level density of states   9.847 states/eV/f.u.
! Total DFT energy (no corrections)   -6.34 eV per atom
&SYSTEM
  ibrav = 0, nat = 20, ntyp = 4
/
ATOMIC_SPECIES
Tb 158.93 Tb.upf
Al 26.98 Al.upf
Cu 63.55 Cu.upf
Rh 102.91 Rh.upf
CELL_PARAMETERS angstrom
-0.327 -3.051 -2.129
-2.436 -4.996 7.533
-9.002 2.048 -1.552
ATOMIC_POSITIONS crystal
Tb 0.000 0.674 0.174
Tb 0.000 0.326 0.826
Tb 0.000 0.174 0.326
Tb 0.000 0.826 0.674
Al 0.000 0.000 0.000
Al 0.000 0.500 0.500
Cu 0.000 0.125 0.625
Cu 0.000 0.875 0.375
Cu 0.000 0.625 0.875
Cu 0.000 0.375 0.125
Rh 0.500 0.199 0.067
Rh 0.500 0.801 0.933
Rh 0.500 0.067 0.801
Rh 0.500 0.699 0.433
Rh 0.500 0.933 0.199
Rh 0.500 0.301 0.567
Rh 0.500 0.567 0.699
Rh 0.500 0.433 0.301
Rh 0.500 0.500 0.000
Rh 0.500 0.000 0.500